First-principles (GGA-PBE) data for a relaxed structure of MgZn3Ge2Ir2, as listed in OQMD via LeMat-Bulk.

Structure (extended XYZ):
```
8
Lattice="4.224 0.000 0.000 -2.112 3.658 0.000 0.000 0.000 8.415" Properties=species:S:1:pos:R:3 pbc="T T T"
Ge 2.112 1.219 2.078
Ge 2.112 1.219 6.269
Ir 0.000 0.000 2.140
Ir 0.000 2.439 6.307
Mg 0.000 0.000 7.794
Zn 0.000 2.439 0.659
Zn 0.000 2.439 3.631
Zn 0.000 0.000 4.782
```

Calculated values
* raw total energy: -4.36 eV/atom
* size of the total moment: 0.0 μB per formula unit